Version w
Below is an optimized crystal structure of SmAsPO, with properties calculated at the PBE level.

a b c (Å): 4.5759 4.5759 6.6806
angles (deg): 90.00 90.00 90.00
Sites, in units of the cell vectors:
Sm 0.2500 0.2500 0.1188
Sm 0.7500 0.7500 0.8812
As 0.2500 0.7500 0.5000
As 0.7500 0.2500 0.5000
P 0.2500 0.2500 0.6303
P 0.7500 0.7500 0.3697
O 0.2500 0.7500 0.0000
O 0.7500 0.2500 0.0000

Version x
Below is an optimized crystal structure of SmAsPO, with properties calculated at the PBE level.

a b c (Å): 5.7685 5.7685 4.7198
angles (deg): 90.00 90.00 90.00
Sites, in units of the cell vectors:
Sm 0.2500 0.7500 0.0000
Sm 0.7500 0.2500 0.0000
As 0.2500 0.2500 0.4928
As 0.7500 0.7500 0.5072
P 0.2500 0.2500 0.9930
P 0.7500 0.7500 0.0070
O 0.2500 0.7500 0.5000
O 0.7500 0.2500 0.5000

Energies relative to the minimum, meV per atom: version w 0; version x 489